Entry from Alexandria via LeMat-Bulk: a relaxed NdSmPa2N4 crystal (PBE).

Cell: 5.0506 5.0506 6.1258 Å, 114.34 114.35 90.00°
Closest atoms and distances in Å follow each position.
Sites, in units of the cell vectors:
N (0.2333, 0.2333, 0.4666)  3 Pa 2.32-2.53, 2 Sm 2.53
N (0.7667, 0.7667, 0.5334)  3 Pa 2.32-2.53, 2 Sm 2.53
N (0.0155, 0.5155, 0.0309)  3 Pa 2.33-2.53, 2 Nd 2.53
N (0.4845, 0.9845, 0.9691)  3 Pa 2.33-2.53, 2 Nd 2.53
Pa (0.0000, 0.0000, 0.0000)  6 N 2.32-2.53
Pa (0.2500, 0.7500, 0.5000)  6 N 2.33-2.53
Nd (0.5000, 0.5000, 0.0000)  6 N 2.53-2.66
Sm (0.7500, 0.2500, 0.5000)  6 N 2.53-2.64

Properties
V   15.87 A^3/atom
Symmetry   I-4m2 (119)
Mass density   10.63 Mg/m³
Raw total energy   -0.6813 Ry/atom

Entry from Alexandria via LeMat-Bulk: a relaxed BaCaEuSbO6 crystal (PBE).

Cell: 5.9768 5.9768 5.9768 Å, 60.00 60.00 60.00°
Closest atoms and distances in Å follow each position.
Sites, in units of the cell vectors:
O (0.7353, 0.7353, 0.2647)  1 Sb 1.99
O (0.2647, 0.7353, 0.7353)  1 Sb 1.99
O (0.2647, 0.7353, 0.2647)  1 Sb 1.99
O (0.2647, 0.2647, 0.7353)  1 Sb 1.99
O (0.7353, 0.2647, 0.2647)  1 Sb 1.99
O (0.7353, 0.2647, 0.7353)  1 Sb 1.99
Eu (0.7500, 0.7500, 0.7500)  12 O 2.99
Ca (0.0000, 0.0000, 0.0000)  6 O 2.24
Sb (0.5000, 0.5000, 0.5000)  6 O 1.99
Ba (0.2500, 0.2500, 0.2500)  12 O 2.99

Properties
V   15.10 A^3/atom
Symmetry   F-43m (216)
Mass density   6.02 Mg/m³
Raw total energy   -0.5243 Ry/atom

Entry from Alexandria via LeMat-Bulk: a relaxed CaFeP2 crystal (PBE).

Cell: 4.5615 4.5615 4.5615 Å, 60.00 60.00 60.00°
Closest atoms and distances in Å follow each position.
Sites, in units of the cell vectors:
P (0.7500, 0.7500, 0.7500)  4 P 2.79, 4 Ca 2.79
P (0.0000, 0.0000, 0.0000)  4 Fe 2.79, 4 P 2.79
Ca (0.5000, 0.5000, 0.5000)  4 P 2.79, 4 Fe 2.79
Fe (0.2500, 0.2500, 0.2500)  4 P 2.79, 4 Ca 2.79

Properties
Formation enthalpy at 0 K   321 meV per atom
V   16.78 A^3/atom
Symmetry   F-43m (216)
Mass density   3.91 Mg/m³

Entry from Alexandria via LeMat-Bulk: a relaxed Cu2SiAs crystal (PBE).

Cell: 8.3186 8.3186 8.3186 Å, 19.93 19.93 19.93°
Closest atoms and distances in Å follow each position.
Sites, in units of the cell vectors:
Cu (0.2496, 0.2496, 0.2496)  3 Si 2.47, 3 Cu 2.55
Cu (0.9956, 0.9956, 0.9956)  3 Cu 2.55, 3 As 2.65
Si (0.5081, 0.5081, 0.5081)  3 Cu 2.47
As (0.7468, 0.7468, 0.7468)  3 Cu 2.65, 3 Si 2.85, 6 As 2.88

Properties
V   14.63 A^3/atom
Symmetry   R3m (160)
Mass density   6.53 Mg/m³
Raw total energy   -0.3159 Ry/atom